P:
Below is a geometry-optimized MgZrCuSb structure, with properties calculated at the PBE level.

```
MgZrCuSb
1.0
0.000 3.420 3.420
3.420 0.000 3.420
3.420 3.420 0.000
Mg Zr Cu Sb
1 1 1 1
direct
0.000 0.000 0.000 Mg
0.750 0.750 0.750 Zr
0.500 0.500 0.500 Cu
0.250 0.250 0.250 Sb
```

Symmetry: F-43m, No. 216

Q:
Below is a geometry-optimized MgZrCuSb structure, with properties calculated at the PBE level.

```
MgZrCuSb
1.0
0.000 3.416 3.416
3.416 0.000 3.416
3.416 3.416 0.000
Mg Zr Cu Sb
1 1 1 1
direct
0.000 0.000 0.000 Mg
0.250 0.250 0.250 Zr
0.750 0.750 0.750 Cu
0.500 0.500 0.500 Sb
```

Symmetry: F-43m, No. 216

Among the structures above, stability is greatest for Q.